A relaxed PrMnSe3 crystal, computed with PBE.

Results
distance to the lowest polymorph of the same formula = 0 meV per atom
SG = P2_1/c
raw formation energy = -1.129 eV/atom

The structure in POSCAR format:
```
PrMnSe3
1.0
8.987 0.000 0.000
0.000 7.681 0.000
-3.965 0.000 7.741
Pr Mn Se
4 4 12
Direct
0.128 0.213 0.059
0.128 0.287 0.559
0.872 0.713 0.441
0.872 0.787 0.941
0.307 0.618 0.921
0.307 0.882 0.421
0.693 0.118 0.579
0.693 0.382 0.079
0.014 0.511 0.793
0.014 0.989 0.293
0.249 0.668 0.607
0.249 0.832 0.107
0.392 0.199 0.444
0.392 0.301 0.944
0.608 0.699 0.056
0.608 0.801 0.556
0.751 0.168 0.893
0.751 0.332 0.393
0.986 0.011 0.707
0.986 0.489 0.207
```

---

A relaxed NaLiTlZn crystal, computed with PBE.

Results
SG = F-43m
ΔH_f (0 K) = -0.100 eV/atom

The structure in POSCAR format:
```
NaLiTlZn
1.0
6.918 0.000 0.000
0.000 6.918 0.000
0.000 0.000 6.918
Na Li Tl Zn
4 4 4 4
Direct
0.000 0.000 0.000
0.000 0.500 0.500
0.500 0.000 0.500
0.500 0.500 0.000
0.250 0.250 0.750
0.250 0.750 0.250
0.750 0.250 0.250
0.750 0.750 0.750
0.000 0.000 0.500
0.000 0.500 0.000
0.500 0.000 0.000
0.500 0.500 0.500
0.250 0.250 0.250
0.250 0.750 0.750
0.750 0.250 0.750
0.750 0.750 0.250
```

---

A relaxed HfFeS2 crystal, computed with PBE.

Results
distance to the lowest polymorph of the same formula = 0 meV per atom
SG = R-3m
raw formation energy = -0.669 eV/atom

The structure in POSCAR format:
```
HfFeS2
1.0
3.450 0.000 0.000
-1.725 2.988 0.000
0.000 0.000 22.845
Hf Fe S
3 3 6
Direct
0.000 0.000 0.000
0.333 0.667 0.667
0.667 0.333 0.333
0.000 0.000 0.500
0.333 0.667 0.167
0.667 0.333 0.833
0.000 0.000 0.403
0.000 0.000 0.597
0.333 0.667 0.069
0.333 0.667 0.264
0.667 0.333 0.736
0.667 0.333 0.931
```

---

A relaxed La2ZnGa2S6O crystal, computed with PBE.

Results
SG = P-42_1m
raw formation energy = -1.543 eV/atom

The structure in POSCAR format:
```
La2ZnGa2S6O
1.0
9.416 0.000 0.000
0.000 9.416 0.000
0.000 0.000 6.120
La Zn Ga S O
4 2 4 12 2
Direct
0.155 0.345 0.492
0.345 0.845 0.508
0.655 0.155 0.508
0.845 0.655 0.492
0.000 0.000 0.000
0.500 0.500 0.000
0.128 0.628 0.086
0.372 0.128 0.914
0.628 0.872 0.914
0.872 0.372 0.086
0.065 0.832 0.259
0.132 0.632 0.720
0.168 0.065 0.741
0.332 0.565 0.259
0.368 0.132 0.280
0.435 0.332 0.741
0.565 0.668 0.741
0.632 0.868 0.280
0.668 0.435 0.259
0.832 0.935 0.741
0.868 0.368 0.720
0.935 0.168 0.259
0.000 0.500 0.236
0.500 0.000 0.764
```

---

A relaxed ZnPb3Cl crystal, computed with PBE.

Results
distance to the lowest polymorph of the same formula = 0 meV per atom
SG = Pm-3m
raw formation energy = 0.167 eV/atom

The structure in POSCAR format:
```
ZnPb3Cl
1.0
5.456 0.000 0.000
0.000 5.456 0.000
0.000 0.000 5.456
Zn Pb Cl
1 3 1
Direct
0.000 0.000 0.000
0.000 0.000 0.500
0.000 0.500 0.000
0.500 0.000 0.000
0.500 0.500 0.500
```